(1)
# Te2AuCl

An optimized crystal structure of Te2AuCl (GGA-PBEsol, Alexandria).

Unit cell a=4.086 b=4.086 c=7.326 alpha=73.80 beta=73.80 gamma=60.00
Atoms (fractional coordinates):
Te  0.235  0.235  0.295
Te  0.765  0.765  0.705
Cl  0.000  0.000  0.000
Au  0.500  0.500  0.500

Values from the calculation:
DFT total energy (eV/atom): -3.457
D(E_F) (states/eV per atom): 0.16
Spin magnetization (Bohr magnetons per cell): 0.0
Formation energy without anion corrections (eV per formula unit): -0.85

***

(2)
# Mg2TcNi

An optimized crystal structure of Mg2TcNi (GGA-PBEsol, Alexandria).

Unit cell a=2.767 b=2.767 c=8.976 alpha=81.13 beta=81.13 gamma=60.00
Atoms (fractional coordinates):
Ni  0.000  0.000  0.000
Mg  0.745  0.745  0.766
Mg  0.255  0.255  0.234
Tc  0.500  0.500  0.500

Values from the calculation:
DFT total energy (eV/atom): -4.975
Formation energy from the elements (eV per formula unit): 0.96
D(E_F) (states/eV per atom): 0.74
Spin magnetization (Bohr magnetons per cell): 0.0

***

Among the records above, which one has the lowest D(E_F)?
Te2AuCl

***

The lowest DFT total energy belongs to which entry?
Mg2TcNi